Here is an optimized crystal structure of NbPS2I from the Alexandria database. Energies are from PBE-GGA.

Computed properties:
* magnetization: 2.05 Bohr magnetons per cell
* symmetry: P4/mmm (123)
* formation energy from raw total energies: 1.45 eV per atom
* E above lowest polymorph: 677 kJ/mol of formula units
* total DFT energy (no corrections): -3.606 eV per atom

Cell: 4.9366 4.9366 5.1442 Å, 90.00 90.00 90.00°
Last column: nearest neighbours and their distance in Å.
Sites, in units of the cell vectors:
I 0.0000 0.0000 0.0000  4 S 2.47, 2 P 2.57
P 0.0000 0.0000 0.5000  2 I 2.57
Nb 0.5000 0.5000 0.5000  4 P 3.49, 8 S 3.56
S 0.0000 0.5000 0.0000  2 I 2.47
S 0.5000 0.0000 0.0000  2 I 2.47